No. 1
Entry from Alexandria: a relaxed TlHgPbAu crystal (PBE-GGA).

Results
As for the energy above the most stable polymorph in this dataset: 29 meV/atom. The calculation puts the density of states at the Fermi level at 5.85 states/eV per cell.

Cell lengths 7.4770, 7.4770, 7.4770 Å; angles 90.00, 90.00, 90.00 degrees
Space group F-43m (No. 216)
Asymmetric unit:
Tl  0.0000  0.0000  0.0000
Hg  0.2500  0.2500  0.7500
Pb  0.0000  0.0000  0.5000
Au  0.2500  0.2500  0.2500

=====

No. 2
Entry from Alexandria: a relaxed TiHgPS2 crystal (PBE-GGA).

Results
As for the energy above the most stable polymorph in this dataset: 0 meV/atom. The calculation puts the density of states at the Fermi level at 4.17 states/eV per cell. The value obtained for the formation energy from raw total energies is -0.58 eV/f.u.

Cell lengths 4.6425, 4.6425, 5.0222 Å; angles 90.00, 90.00, 90.00 degrees
Space group P4/mmm (No. 123)
Asymmetric unit:
Ti  0.0000  0.0000  0.0000
Hg  0.5000  0.5000  0.5000
P  0.0000  0.0000  0.5000
S  0.0000  0.5000  0.0000

=====

No. 3
Entry from Alexandria: a relaxed LuSnRu2 crystal (PBE-GGA).

Results
The calculation puts the density of states at the Fermi level at 4.03 states/eV per cell. The electronic total energy comes out at -7.145 eV/atom.

Cell lengths 3.3001, 3.3001, 6.4848 Å; angles 90.00, 90.00, 90.00 degrees
Space group P4/mmm (No. 123)
Asymmetric unit:
Lu  0.0000  0.0000  0.0000
Sn  0.0000  0.0000  0.5000
Ru  0.5000  0.5000  0.2666